# Mn2BeRu PBE relaxed
# final energy: -7.7707 eV per atom
# DOS at the Fermi energy: 0.723 states/eV per atom
# energy of formation: 0.06 eV per atom
data_Mn2BeRu
_symmetry_space_group_name_H-M 'C m m m'
_symmetry_Int_Tables_number 65
_symmetry_space_group_name_Hall '-C 2 2'
_cell_length_a 4.983
_cell_length_b 7.181
_cell_length_c 2.652
_cell_angle_alpha 90.00
_cell_angle_beta 90.00
_cell_angle_gamma 90.00
loop_
_atom_site_label
_atom_site_type_symbol
_atom_site_fract_x
_atom_site_fract_y
_atom_site_fract_z
_atom_site_occupancy
Mn1 Mn 0.250 0.250 0.000 1
Be1 Be 0.000 0.000 0.500 1
Ru1 Ru 0.000 0.500 0.500 1